1.
Material: Ce6Ir2Ru
Method: DFT, PBE-GGA
State: optimized geometry

Cell and atoms, written as CIF:
```
data_Ce6Ir2Ru
_chemical_formula_sum 'Ce12 Ir4 Ru2'
_space_group_name_H-M_alt 'P 1 21/c 1'
_space_group_IT_number 14
_space_group_name_Hall '-P 2ybc'
_cell_length_a 6.271
_cell_length_b 7.335
_cell_length_c 11.422
_cell_angle_alpha 90.00
_cell_angle_beta 121.44
_cell_angle_gamma 90.00
loop_
_atom_site_label
_atom_site_type_symbol
_atom_site_fract_x
_atom_site_fract_y
_atom_site_fract_z
Ce1 Ce 0.080 0.193 0.432
Ce2 Ce 0.295 0.653 0.447
Ce3 Ce 0.394 0.043 0.241
Ir1 Ir 0.157 0.120 0.725
Ru1 Ru 0.500 0.000 0.500
```

Values from the calculation:
- total DFT energy (no corrections) (eV/atom) = -7.371
- total magnetization (μB/atom) = 0.09
- DFT formation energy (eV per atom) = -0.415

2.
Material: SrTa2P
Method: DFT, PBE-GGA
State: optimized geometry

Cell and atoms, written as CIF:
```
data_SrTa2P
_chemical_formula_sum 'Sr2 Ta4 P2'
_space_group_name_H-M_alt 'I m m 2'
_space_group_IT_number 44
_space_group_name_Hall 'I 2 -2'
_cell_length_a 3.308
_cell_length_b 3.888
_cell_length_c 14.801
_cell_angle_alpha 90.00
_cell_angle_beta 90.00
_cell_angle_gamma 90.00
loop_
_atom_site_label
_atom_site_type_symbol
_atom_site_fract_x
_atom_site_fract_y
_atom_site_fract_z
Sr1 Sr 0.000 0.000 0.000
Ta1 Ta 0.000 0.000 0.670
Ta2 Ta 0.000 0.500 0.801
P1 P 0.000 0.500 0.303
```

Values from the calculation:
- total DFT energy (no corrections) (eV/atom) = -7.522
- total magnetization (μB/atom) = 0.00
- DFT formation energy (eV per atom) = 0.177

3.
Material: CaTa4Zn
Method: DFT, PBE-GGA
State: optimized geometry

Cell and atoms, written as CIF:
```
data_CaTa4Zn
_chemical_formula_sum 'Ca4 Ta16 Zn4'
_space_group_name_H-M_alt 'F -4 3 m'
_space_group_IT_number 216
_space_group_name_Hall 'F -4 2 3'
_cell_length_a 7.945
_cell_length_b 7.945
_cell_length_c 7.945
_cell_angle_alpha 90.00
_cell_angle_beta 90.00
_cell_angle_gamma 90.00
loop_
_atom_site_label
_atom_site_type_symbol
_atom_site_fract_x
_atom_site_fract_y
_atom_site_fract_z
Ca1 Ca 0.000 0.000 0.000
Ta1 Ta 0.127 0.127 0.627
Zn1 Zn 0.250 0.250 0.250
```

Values from the calculation:
- total DFT energy (no corrections) (eV/atom) = -7.894
- total magnetization (μB/atom) = 0.00
- DFT formation energy (eV per atom) = 0.553

4.
Material: Ce2BeSi4Ir3
Method: DFT, PBE-GGA
State: optimized geometry

Cell and atoms, written as CIF:
```
data_Ce2BeSi4Ir3
_chemical_formula_sum 'Ce2 Be1 Si4 Ir3'
_space_group_name_H-M_alt 'P -4 m 2'
_space_group_IT_number 115
_space_group_name_Hall 'P -4 -2'
_cell_length_a 4.125
_cell_length_b 4.125
_cell_length_c 9.936
_cell_angle_alpha 90.00
_cell_angle_beta 90.00
_cell_angle_gamma 90.00
loop_
_atom_site_label
_atom_site_type_symbol
_atom_site_fract_x
_atom_site_fract_y
_atom_site_fract_z
Ce1 Ce 0.000 0.500 0.249
Be1 Be 0.500 0.500 0.000
Si1 Si 0.000 0.000 0.500
Si2 Si 0.000 0.500 0.870
Si3 Si 0.500 0.500 0.500
Ir1 Ir 0.000 0.000 0.000
Ir2 Ir 0.000 0.500 0.628
```

Values from the calculation:
- total DFT energy (no corrections) (eV/atom) = -7.259
- total magnetization (μB/atom) = 0.00

5.
Material: BaBPd3
Method: DFT, PBE-GGA
State: optimized geometry

Cell and atoms, written as CIF:
```
data_BaBPd3
_chemical_formula_sum 'Ba4 B4 Pd12'
_space_group_name_H-M_alt 'I m m a'
_space_group_IT_number 74
_space_group_name_Hall '-I 2b 2'
_cell_length_a 5.979
_cell_length_b 9.178
_cell_length_c 6.682
_cell_angle_alpha 90.00
_cell_angle_beta 90.00
_cell_angle_gamma 90.00
loop_
_atom_site_label
_atom_site_type_symbol
_atom_site_fract_x
_atom_site_fract_y
_atom_site_fract_z
Ba1 Ba 0.000 0.250 0.063
B1 B 0.000 0.000 0.500
Pd1 Pd 0.000 0.250 0.570
Pd2 Pd 0.250 0.030 0.750
```

Values from the calculation:
- ΔE to the lowest computed polymorph (meV per atom) = 0
- total DFT energy (no corrections) (eV/atom) = -5.165
- total magnetization (μB/atom) = 0.00
- DFT formation energy (eV per atom) = -0.329

6.
Material: Cd2ReSi
Method: DFT, PBE-GGA
State: optimized geometry

Cell and atoms, written as CIF:
```
data_Cd2ReSi
_chemical_formula_sum 'Cd4 Re2 Si2'
_space_group_name_H-M_alt 'I m m m'
_space_group_IT_number 71
_space_group_name_Hall '-I 2 2'
_cell_length_a 2.748
_cell_length_b 4.100
_cell_length_c 14.212
_cell_angle_alpha 90.00
_cell_angle_beta 90.00
_cell_angle_gamma 90.00
loop_
_atom_site_label
_atom_site_type_symbol
_atom_site_fract_x
_atom_site_fract_y
_atom_site_fract_z
Cd1 Cd 0.000 0.000 0.182
Re1 Re 0.000 0.500 0.500
Si1 Si 0.000 0.500 0.000
```

Values from the calculation:
- total DFT energy (no corrections) (eV/atom) = -4.805
- total magnetization (μB/atom) = 0.00

7.
Material: Tm6Ga2Ni
Method: DFT, PBE-GGA
State: optimized geometry

Cell and atoms, written as CIF:
```
data_Tm6Ga2Ni
_chemical_formula_sum 'Tm12 Ga4 Ni2'
_space_group_name_H-M_alt 'P 1 21/c 1'
_space_group_IT_number 14
_space_group_name_Hall '-P 2ybc'
_cell_length_a 5.975
_cell_length_b 8.092
_cell_length_c 10.904
_cell_angle_alpha 90.00
_cell_angle_beta 120.79
_cell_angle_gamma 90.00
loop_
_atom_site_label
_atom_site_type_symbol
_atom_site_fract_x
_atom_site_fract_y
_atom_site_fract_z
Tm1 Tm 0.067 0.177 0.443
Tm2 Tm 0.322 0.677 0.442
Tm3 Tm 0.377 0.031 0.262
Ga1 Ga 0.178 0.124 0.751
Ni1 Ni 0.000 0.000 0.000
```

Values from the calculation:
- total DFT energy (no corrections) (eV/atom) = -4.609
- total magnetization (μB/atom) = 0.00
- DFT formation energy (eV per atom) = -0.313

8.
Material: BeAlSe2
Method: DFT, PBE-GGA
State: optimized geometry

Cell and atoms, written as CIF:
```
data_BeAlSe2
_chemical_formula_sum 'Be2 Al2 Se4'
_space_group_name_H-M_alt 'I m m 2'
_space_group_IT_number 44
_space_group_name_Hall 'I 2 -2'
_cell_length_a 3.360
_cell_length_b 3.378
_cell_length_c 15.321
_cell_angle_alpha 90.00
_cell_angle_beta 90.00
_cell_angle_gamma 90.00
loop_
_atom_site_label
_atom_site_type_symbol
_atom_site_fract_x
_atom_site_fract_y
_atom_site_fract_z
Be1 Be 0.000 0.000 0.000
Al1 Al 0.000 0.500 0.149
Se1 Se 0.000 0.000 0.489
Se2 Se 0.000 0.500 0.713
```

Values from the calculation:
- ΔE to the lowest computed polymorph (meV per atom) = 224
- total DFT energy (no corrections) (eV/atom) = -3.793
- total magnetization (μB/atom) = 0.00

9.
Material: LaTaBe2Sb
Method: DFT, PBE-GGA
State: optimized geometry

Cell and atoms, written as CIF:
```
data_LaTaBe2Sb
_chemical_formula_sum 'La1 Ta1 Be2 Sb1'
_space_group_name_H-M_alt 'P 4/m m m'
_space_group_IT_number 123
_space_group_name_Hall '-P 4 2'
_cell_length_a 4.753
_cell_length_b 4.753
_cell_length_c 5.351
_cell_angle_alpha 90.00
_cell_angle_beta 90.00
_cell_angle_gamma 90.00
loop_
_atom_site_label
_atom_site_type_symbol
_atom_site_fract_x
_atom_site_fract_y
_atom_site_fract_z
La1 La 0.000 0.000 0.000
Ta1 Ta 0.000 0.000 0.500
Be1 Be 0.000 0.500 0.500
Sb1 Sb 0.500 0.500 0.000
```

Values from the calculation:
- total DFT energy (no corrections) (eV/atom) = -4.693
- total magnetization (μB/atom) = 0.00

10.
Material: ZrAuSe
Method: DFT, PBE-GGA
State: optimized geometry

Cell and atoms, written as CIF:
```
data_ZrAuSe
_chemical_formula_sum 'Zr4 Au4 Se4'
_space_group_name_H-M_alt 'F -4 3 m'
_space_group_IT_number 216
_space_group_name_Hall 'F -4 2 3'
_cell_length_a 6.552
_cell_length_b 6.552
_cell_length_c 6.552
_cell_angle_alpha 90.00
_cell_angle_beta 90.00
_cell_angle_gamma 90.00
loop_
_atom_site_label
_atom_site_type_symbol
_atom_site_fract_x
_atom_site_fract_y
_atom_site_fract_z
Zr1 Zr 0.000 0.000 0.000
Au1 Au 0.250 0.250 0.250
Se1 Se 0.250 0.250 0.750
```

Values from the calculation:
- ΔE to the lowest computed polymorph (meV per atom) = 276
- total DFT energy (no corrections) (eV/atom) = -5.633
- total magnetization (μB/atom) = 0.00

11.
Material: Zn2CoCl
Method: DFT, PBE-GGA
State: optimized geometry

Cell and atoms, written as CIF:
```
data_Zn2CoCl
_chemical_formula_sum 'Zn4 Co2 Cl2'
_space_group_name_H-M_alt 'I -4 m 2'
_space_group_IT_number 119
_space_group_name_Hall 'I -4 -2'
_cell_length_a 3.632
_cell_length_b 3.632
_cell_length_c 9.861
_cell_angle_alpha 90.00
_cell_angle_beta 90.00
_cell_angle_gamma 90.00
loop_
_atom_site_label
_atom_site_type_symbol
_atom_site_fract_x
_atom_site_fract_y
_atom_site_fract_z
Zn1 Zn 0.000 0.000 0.000
Zn2 Zn 0.000 0.500 0.250
Co1 Co 0.000 0.000 0.500
Cl1 Cl 0.000 0.500 0.750
```

Values from the calculation:
- ΔE to the lowest computed polymorph (meV per atom) = 442
- total DFT energy (no corrections) (eV/atom) = -2.494
- total magnetization (μB/atom) = 0.38

12.
Material: La2PmSb
Method: DFT, PBE-GGA
State: optimized geometry

Cell and atoms, written as CIF:
```
data_La2PmSb
_chemical_formula_sum 'La8 Pm4 Sb4'
_space_group_name_H-M_alt 'F m -3 m'
_space_group_IT_number 225
_space_group_name_Hall '-F 4 2 3'
_cell_length_a 7.970
_cell_length_b 7.970
_cell_length_c 7.970
_cell_angle_alpha 90.00
_cell_angle_beta 90.00
_cell_angle_gamma 90.00
loop_
_atom_site_label
_atom_site_type_symbol
_atom_site_fract_x
_atom_site_fract_y
_atom_site_fract_z
La1 La 0.250 0.250 0.250
Pm1 Pm 0.000 0.000 0.000
Sb1 Sb 0.000 0.000 0.500
```

Values from the calculation:
- ΔE to the lowest computed polymorph (meV per atom) = 254
- total DFT energy (no corrections) (eV/atom) = -5.027
- total magnetization (μB/atom) = 0.04